one.
Entry from the Alexandria database: a relaxed Zn2InTe crystal (PBE).

Output
Space group: Cmm2 (35)
Magnetization in Bohr magnetons per cell: 0.0

Cell: 3.4826 3.4826 7.9219 Å, 90.00 90.00 101.93°
Positions (direct):
Zn: 0.0000 0.0000 0.0000
Zn: 0.5000 0.5000 0.1830
In: 0.5000 0.5000 0.7557
Te: 0.0000 0.0000 0.4133

two.
Entry from the Alexandria database: a relaxed Zn2InTe crystal (PBE).

Output
Space group: Cmmm (65)
Magnetization in Bohr magnetons per cell: 0.0

Cell: 3.5354 3.5354 7.9164 Å, 90.00 90.00 106.38°
Positions (direct):
Zn: 0.0000 0.0000 0.2458
Zn: 0.0000 0.0000 0.7542
In: 0.5000 0.5000 0.5000
Te: 0.5000 0.5000 0.0000

three.
Entry from the Alexandria database: a relaxed Zn2InTe crystal (PBE).

Output
Space group: Pmmm (47)
Magnetization in Bohr magnetons per cell: 0.0

Cell: 4.0268 4.0531 6.0329 Å, 90.00 90.00 90.00°
Positions (direct):
Zn: 0.0000 0.0000 0.0000
Zn: 0.5000 0.0000 0.5000
In: 0.0000 0.5000 0.5000
Te: 0.5000 0.5000 0.0000

Relative energies, unit kJ/mol of atoms: one 4.4; two 6.1; three 0.0